# GGA+U Mo2RhF2, optimized geometry
# symmetry: I4/mmm
# N(E_F): 3.11 states/eV per cell
# polymorph energy (0 for the lowest one): 0 meV/atom
# VASP energy: -27.46 eV/cell
data_Mo2RhF2
_cell_length_a 3.445
_cell_length_b 3.445
_cell_length_c 6.142
_cell_angle_alpha 73.71
_cell_angle_beta 73.71
_cell_angle_gamma 90.00
_symmetry_space_group_name_H-M 'P 1'
_symmetry_Int_Tables_number 1
_symmetry_space_group_name_Hall 'P 1'
loop_
_atom_site_label
_atom_site_type_symbol
_atom_site_fract_x
_atom_site_fract_y
_atom_site_fract_z
Mo1 Mo 0.611 0.611 0.779
F1 F 0.750 0.250 0.500
Rh1 Rh 0.000 0.000 0.000
F2 F 0.250 0.750 0.500
Mo2 Mo 0.389 0.389 0.221